No. 1
ScInSn | GGA-PBE | relaxed

Its total magnetization is 0.00 Bohr magnetons per cell. The formation energy comes out at -0.42 eV/atom. For the calculated total energy, the calculation gives -57.38 eV per cell. As for the energy above the lowest structure with this stoichiometry: 0 meV/atom. The calculation puts the density at 6.6 Mg/m³.

Lattice parameters (Å, degrees): 4.3070 15.4896 4.2247 90.00 90.00 90.00
Space group Cmcm (No. 63)
One atom of each set of equivalent atoms:
Sc1 0.0000 0.0882 0.2500 x4
In1 0.0000 0.2539 0.7500 x4
Sn1 0.0000 0.4278 0.2500 x4

***

No. 2
Sc8In2Sn | GGA-PBE | relaxed

Its total magnetization is 3.30 Bohr magnetons per cell. The formation energy comes out at -0.19 eV/atom. For the calculated total energy, the calculation gives -124.48 eV per cell. The calculation puts the density at 4.4 Mg/m³.

Lattice parameters (Å, degrees): 8.1641 14.0190 5.1974 90.00 116.52 90.00
Space group C2/m (No. 12)
One atom of each set of equivalent atoms:
Sc1 0.0000 0.2122 0.0000 x4
Sc2 0.0932 0.5000 0.7927 x4
Sc3 0.2120 0.1128 0.6424 x8
In1 0.0000 0.3050 0.5000 x4
Sn1 0.0000 0.0000 0.0000 x2

***

No. 3
ScIn2Sn | GGA-PBE | relaxed

Its total magnetization is 0.00 Bohr magnetons per cell. The formation energy comes out at -0.08 eV/atom. For the calculated total energy, the calculation gives -64.58 eV per cell. As for the energy above the lowest structure with this stoichiometry: 208 meV/atom. The calculation puts the density at 6.2 Mg/m³.

Lattice parameters (Å, degrees): 8.3377 8.3377 6.0235 90.00 90.00 90.00
Space group I-42d (No. 122)
One atom of each set of equivalent atoms:
Sc1 0.0000 0.0000 0.0000 x4
In1 0.2377 0.2500 0.6250 x8
Sn1 0.0000 0.0000 0.5000 x4

***

No. 4
Sc6InSn | GGA-PBE | relaxed

Its total magnetization is 0.00 Bohr magnetons per cell. The formation energy comes out at -0.05 eV/atom. For the calculated total energy, the calculation gives -90.23 eV per cell. As for the energy above the lowest structure with this stoichiometry: 313 meV/atom. The calculation puts the density at 4.0 Mg/m³.

Lattice parameters (Å, degrees): 8.2901 6.2383 8.4330 90.00 107.34 90.00
Space group C2/m (No. 12)
One atom of each set of equivalent atoms:
Sc1 0.1398 0.0000 0.4388 x4
Sc2 0.1915 0.2447 0.7985 x8
In1 0.0000 0.5000 0.5000 x2
Sn1 0.0000 0.0000 0.0000 x2